1.
# PBE-GGA Na4Er3TlO8, optimized geometry
data_Na4Er3TlO8
_chemical_formula_sum 'Na12 Er9 Tl3 O24'
_space_group_name_H-M_alt 'R -3 m'
_space_group_IT_number 166
_space_group_name_Hall '-R 3 2"'
_cell_length_a 6.7674
_cell_length_b 6.7674
_cell_length_c 16.8328
_cell_angle_alpha 90.00
_cell_angle_beta 90.00
_cell_angle_gamma 120.00
loop_
_atom_site_label
_atom_site_type_symbol
_atom_site_fract_x
_atom_site_fract_y
_atom_site_fract_z
Na1 Na 0.0000 0.0000 0.0000
Na2 Na 0.0000 0.5000 0.0000
Er1 Er 0.0000 0.5000 0.5000
Tl1 Tl 0.0000 0.0000 0.5000
O1 O 0.0000 0.0000 0.2352
O2 O 0.0087 0.5044 0.7605
# ΔE_f (raw) (eV per atom): -2.385



2.
# PBE-GGA InSn2Te2, optimized geometry
data_InSn2Te2
_chemical_formula_sum 'In2 Sn4 Te4'
_space_group_name_H-M_alt 'I 4/m m m'
_space_group_IT_number 139
_space_group_name_Hall '-I 4 2'
_cell_length_a 4.462
_cell_length_b 4.462
_cell_length_c 16.275
_cell_angle_alpha 90.00
_cell_angle_beta 90.00
_cell_angle_gamma 90.00
loop_
_atom_site_label
_atom_site_type_symbol
_atom_site_fract_x
_atom_site_fract_y
_atom_site_fract_z
In1 In 0.000 0.000 0.000
Sn1 Sn 0.000 0.500 0.250
Te1 Te 0.000 0.000 0.406
# Energy above the lowest structure with this stoichiometry (kJ per mole of atoms): 8.8
# ΔE_f (raw) (eV per atom): 0.010



3.
# PBE-GGA PuZn2Hg, optimized geometry
data_PuZn2Hg
_chemical_formula_sum 'Pu1 Zn2 Hg1'
_space_group_name_H-M_alt 'P 4/m m m'
_space_group_IT_number 123
_space_group_name_Hall '-P 4 2'
_cell_length_a 4.591
_cell_length_b 4.591
_cell_length_c 4.188
_cell_angle_alpha 90.00
_cell_angle_beta 90.00
_cell_angle_gamma 90.00
loop_
_atom_site_label
_atom_site_type_symbol
_atom_site_fract_x
_atom_site_fract_y
_atom_site_fract_z
Pu1 Pu 0.000 0.000 0.000
Zn1 Zn 0.000 0.500 0.500
Hg1 Hg 0.500 0.500 0.000
# Energy above the lowest structure with this stoichiometry (kJ per mole of atoms): 7.3



4.
# PBE-GGA Sr3Sb3As, optimized geometry
data_Sr3Sb3As
_chemical_formula_sum 'Sr24 Sb24 As8'
_space_group_name_H-M_alt 'C m c e'
_space_group_IT_number 64
_space_group_name_Hall '-C 2ac 2'
_cell_length_a 20.896
_cell_length_b 6.988
_cell_length_c 13.728
_cell_angle_alpha 90.00
_cell_angle_beta 90.00
_cell_angle_gamma 90.00
loop_
_atom_site_label
_atom_site_type_symbol
_atom_site_fract_x
_atom_site_fract_y
_atom_site_fract_z
Sr1 Sr 0.000 0.202 0.138
Sr2 Sr 0.175 0.199 0.872
Sb1 Sb 0.000 0.223 0.381
Sb2 Sb 0.164 0.216 0.626
As1 As 0.088 0.000 0.500
# ΔE_f (raw) (eV per atom): -0.733



5.
# Dy4Ag2HgPd

Crystalline Dy4Ag2HgPd at its relaxed geometry (PBE-GGA, the Alexandria database).

Structure (CIF):
```
data_Dy4Ag2HgPd
_chemical_formula_sum 'Dy12 Ag6 Hg3 Pd3'
_space_group_name_H-M_alt 'R -3 m'
_space_group_IT_number 166
_space_group_name_Hall '-R 3 2"'
_cell_length_a 5.1292
_cell_length_b 5.1292
_cell_length_c 25.0500
_cell_angle_alpha 90.00
_cell_angle_beta 90.00
_cell_angle_gamma 120.00
loop_
_atom_site_label
_atom_site_type_symbol
_atom_site_fract_x
_atom_site_fract_y
_atom_site_fract_z
Dy1 Dy 0.0000 0.0000 0.1202
Dy2 Dy 0.0000 0.0000 0.3712
Ag1 Ag 0.0000 0.0000 0.2465
Hg1 Hg 0.0000 0.0000 0.5000
Pd1 Pd 0.0000 0.0000 0.0000
```



6.
# Li2Tm3Ga9

Crystalline Li2Tm3Ga9 at its relaxed geometry (PBE-GGA, the Alexandria database).

Structure (CIF):
```
data_Li2Tm3Ga9
_chemical_formula_sum 'Li4 Tm6 Ga18'
_space_group_name_H-M_alt 'I m m m'
_space_group_IT_number 71
_space_group_name_Hall '-I 2 2'
_cell_length_a 4.202
_cell_length_b 9.690
_cell_length_c 12.534
_cell_angle_alpha 90.00
_cell_angle_beta 90.00
_cell_angle_gamma 90.00
loop_
_atom_site_label
_atom_site_type_symbol
_atom_site_fract_x
_atom_site_fract_y
_atom_site_fract_z
Li1 Li 0.000 0.200 0.000
Tm1 Tm 0.000 0.000 0.191
Tm2 Tm 0.000 0.000 0.500
Ga1 Ga 0.000 0.280 0.362
Ga2 Ga 0.000 0.369 0.157
Ga3 Ga 0.000 0.500 0.500
```



Going through the records in order, we get D(E_F) values of 0.00 0.56 2.54 0.05 0.51 0.42 states/eV per atom.
Going through the records in order, we get volume values of 13.9 32.4 22.1 35.8 23.8 18.2 A^3/atom.
Going through the records in order, we get E values of -297.47 -33.95 -17.14 -217.55 -101.01 -102.41 eV per cell.